Record 1
# NaIn2Hg5Pb, optimized geometry, DFT PBE-GGA
# ΔH_f (0 K), eV per atom: -0.032
data_NaIn2Hg5Pb
_chemical_formula_sum 'Na4 In8 Hg20 Pb4'
_cell_length_a 3.739
_cell_length_b 17.563
_cell_length_c 14.836
_cell_angle_alpha 90.00
_cell_angle_beta 90.00
_cell_angle_gamma 90.00
_space_group_name_H-M_alt 'C m c 21'
_space_group_IT_number 36
loop_
_space_group_symop_operation_xyz
'x,y,z'
'-x,-y,z+1/2'
'-x,y,z'
'x,-y,z+1/2'
'x+1/2,y+1/2,z'
'-x+1/2,-y+1/2,z+1/2'
'-x+1/2,y+1/2,z'
'x+1/2,-y+1/2,z+1/2'
loop_
_atom_site_label
_atom_site_fract_x
_atom_site_fract_y
_atom_site_fract_z
Na1 0.000 0.081 0.000
In1 0.000 0.345 0.273
In2 0.000 0.413 0.938
Hg1 0.000 0.014 0.814
Hg2 0.000 0.084 0.606
Hg3 0.000 0.168 0.276
Hg4 0.000 0.241 0.921
Hg5 0.000 0.444 0.662
Pb1 0.000 0.263 0.604

***

Record 2
# Tb5Sm2In, optimized geometry, DFT PBE-GGA
# ΔH_f (0 K), eV per atom: -0.109
data_Tb5Sm2In
_chemical_formula_sum 'Tb10 Sm4 In2'
_cell_length_a 4.924
_cell_length_b 4.924
_cell_length_c 20.338
_cell_angle_alpha 90.00
_cell_angle_beta 90.00
_cell_angle_gamma 90.00
_space_group_name_H-M_alt 'I 4/m m m'
_space_group_IT_number 139
_space_group_name_Hall '-I 4 2'
loop_
_atom_site_label
_atom_site_fract_x
_atom_site_fract_y
_atom_site_fract_z
Tb1 0.000 0.000 0.000
Tb2 0.000 0.500 0.120
Sm1 0.000 0.000 0.246
In1 0.000 0.000 0.500

***

Record 3
# Dy2Ga3Ni4Pd, optimized geometry, DFT PBE-GGA
# ΔH_f (0 K), eV per atom: -0.558
data_Dy2Ga3Ni4Pd
_chemical_formula_sum 'Dy2 Ga3 Ni4 Pd1'
_cell_length_a 3.832
_cell_length_b 3.832
_cell_length_c 11.098
_cell_angle_alpha 90.00
_cell_angle_beta 90.00
_cell_angle_gamma 90.00
_space_group_name_H-M_alt 'P -4 m 2'
_space_group_IT_number 115
loop_
_space_group_symop_operation_xyz
'x,y,z'
'y,-x,-z'
'-x,-y,z'
'-y,x,-z'
'-x,y,z'
'-y,-x,-z'
'x,-y,z'
'y,x,-z'
loop_
_atom_site_label
_atom_site_fract_x
_atom_site_fract_y
_atom_site_fract_z
Dy1 0.000 0.500 0.241
Ga1 0.000 0.000 0.000
Ga2 0.000 0.500 0.630
Ni1 0.000 0.000 0.500
Ni2 0.000 0.500 0.845
Ni3 0.500 0.500 0.500
Pd1 0.500 0.500 0.000

***

Record 4
The following is a PBE-GGA calculation of crystalline Ca6Se5Br at its relaxed geometry, from the Alexandria database.

```
data_Ca6Se5Br
_chemical_formula_sum 'Ca12 Se10 Br2'
_cell_length_a 7.300
_cell_length_b 12.636
_cell_length_c 7.296
_cell_angle_alpha 90.00
_cell_angle_beta 109.44
_cell_angle_gamma 90.00
_space_group_name_H-M_alt 'C 1 2/m 1'
_space_group_IT_number 12
loop_
_space_group_symop_operation_xyz
'x,y,z'
'-x,-y,-z'
'-x,y,-z'
'x,-y,z'
'x+1/2,y+1/2,z'
'-x+1/2,-y+1/2,-z'
'-x+1/2,y+1/2,-z'
'x+1/2,-y+1/2,z'
loop_
_atom_site_label
_atom_site_fract_x
_atom_site_fract_y
_atom_site_fract_z
Ca1 0.238 0.000 0.256
Ca2 0.240 0.174 0.741
Se1 0.000 0.000 0.500
Se2 0.000 0.167 0.000
Se3 0.000 0.338 0.500
Br1 0.000 0.500 0.000
```

***

no.,final energy (eV per atom)
1,-1.367
2,-4.525
3,-5.218
4,-4.519